## one
VASP calculation (PBE) on KTaSe4 after structural relaxation.

abc: 5.889 7.913 8.455
angles: 117.90 90.65 90.00
Sites, in units of the cell vectors:
K (0.772, 0.810, 0.621)
K (0.228, 0.190, 0.379)
Ta (0.267, 0.521, 0.042)
Ta (0.733, 0.479, 0.958)
Se (0.268, 0.692, 0.384)
Se (0.393, 0.191, 0.792)
Se (0.000, 0.236, 0.000)
Se (0.607, 0.400, 0.208)
Se (0.732, 0.308, 0.616)
Se (0.607, 0.809, 0.208)
Se (0.000, 0.764, 0.000)
Se (0.393, 0.600, 0.792)

***

## two
VASP calculation (PBE) on KTaSe4 after structural relaxation.

abc: 5.844 5.844 5.844
angles: 60.00 60.00 60.00
Sites, in units of the cell vectors:
K (0.000, 0.000, 0.000)
Ta (0.750, 0.750, 0.750)
Se (0.377, 0.870, 0.377)
Se (0.870, 0.377, 0.377)
Se (0.377, 0.377, 0.870)
Se (0.377, 0.377, 0.377)

***

## three
VASP calculation (PBE) on KTaSe4 after structural relaxation.

abc: 6.441 7.872 8.284
angles: 61.63 79.26 66.90
Sites, in units of the cell vectors:
K (0.750, 0.349, 0.301)
K (0.250, 0.651, 0.699)
Ta (0.250, 0.000, 0.999)
Ta (0.750, 0.000, 0.001)
Se (0.866, 0.343, 0.862)
Se (0.032, 0.071, 0.721)
Se (0.634, 0.795, 0.862)
Se (0.468, 0.209, 0.721)
Se (0.532, 0.791, 0.279)
Se (0.366, 0.205, 0.138)
Se (0.968, 0.929, 0.279)
Se (0.134, 0.657, 0.138)

***

Which is most stable? The ranking, best first, is three, one, two.

***

## one
VASP calculation (PBE) on KTaSe after structural relaxation.

abc: 3.364 3.364 7.504
angles: 90.00 90.00 120.00
Sites, in units of the cell vectors:
K (0.000, 0.000, 0.027)
Se (0.667, 0.333, 0.373)
Ta (0.333, 0.667, 0.600)

***

## two
VASP calculation (PBE) on KTaSe after structural relaxation.

abc: 4.358 4.358 5.757
angles: 90.00 90.00 120.00
Sites, in units of the cell vectors:
K (0.000, 0.000, 0.000)
Se (0.667, 0.333, 0.500)
Ta (0.333, 0.667, 0.500)

***

## three
VASP calculation (PBE) on KTaSe after structural relaxation.

abc: 5.079 5.079 5.079
angles: 60.00 60.00 60.00
Sites, in units of the cell vectors:
K (0.750, 0.750, 0.750)
Se (0.000, 0.000, 0.000)
Ta (0.500, 0.500, 0.500)

***

Which is most stable? The ranking, best first, is one, two, three.

***

## one
VASP calculation (PBE) on KTaSe after structural relaxation.

abc: 4.761 4.761 4.761
angles: 60.00 60.00 60.00
Sites, in units of the cell vectors:
K (0.500, 0.500, 0.500)
Se (0.750, 0.750, 0.750)
Ta (0.000, 0.000, 0.000)

***

## two
VASP calculation (PBE) on KTaSe after structural relaxation.

abc: 7.981 7.745 3.209
angles: 82.39 74.13 23.49
Sites, in units of the cell vectors:
K (0.991, 0.991, 0.009)
Se (0.314, 0.314, 0.686)
Ta (0.695, 0.695, 0.305)

***

## three
VASP calculation (PBE) on KTaSe after structural relaxation.

abc: 7.286 7.286 7.286
angles: 153.79 153.79 37.40
Sites, in units of the cell vectors:
K (0.989, 0.989, 0.000)
Se (0.301, 0.301, 0.000)
Ta (0.710, 0.710, 0.000)

***

Which is most stable? The ranking, best first, is three, two, one.

***

## one
VASP calculation (PBE) on K2TaSe4 after structural relaxation.

abc: 6.388 7.412 10.653
angles: 104.82 90.00 90.00
Sites, in units of the cell vectors:
K (0.250, 0.282, 0.953)
K (0.750, 0.718, 0.047)
K (0.750, 0.785, 0.554)
K (0.250, 0.215, 0.446)
Se (0.523, 0.476, 0.720)
Se (0.250, 0.840, 0.014)
Se (0.750, 0.160, 0.986)
Se (0.977, 0.476, 0.720)
Se (0.750, 0.058, 0.337)
Se (0.023, 0.524, 0.280)
Se (0.477, 0.524, 0.280)
Se (0.250, 0.942, 0.663)
Ta (0.250, 0.711, 0.785)
Ta (0.750, 0.289, 0.215)

***

## two
VASP calculation (PBE) on K2TaSe4 after structural relaxation.

abc: 5.130 5.130 9.033
angles: 73.50 73.50 90.00
Sites, in units of the cell vectors:
K (0.355, 0.355, 0.291)
K (0.645, 0.645, 0.709)
Se (0.153, 0.153, 0.694)
Se (0.847, 0.847, 0.306)
Se (0.000, 0.500, 0.000)
Se (0.500, 0.000, 0.000)
Ta (0.000, 0.000, 0.000)

***

Which is most stable? The ranking, best first, is one, two.

***

## one
VASP calculation (PBE) on KTc3Se after structural relaxation.

abc: 4.721 4.721 4.721
angles: 90.00 90.00 90.00
Sites, in units of the cell vectors:
K (0.500, 0.500, 0.500)
Tc (0.000, 0.500, 0.000)
Tc (0.000, 0.000, 0.500)
Tc (0.500, 0.000, 0.000)
Se (0.000, 0.000, 0.000)

***

## two
VASP calculation (PBE) on KTc3Se after structural relaxation.

abc: 4.607 4.607 4.607
angles: 90.00 90.00 90.00
Sites, in units of the cell vectors:
K (0.000, 0.000, 0.000)
Tc (0.000, 0.500, 0.000)
Tc (0.000, 0.000, 0.500)
Tc (0.500, 0.000, 0.000)
Se (0.500, 0.500, 0.500)

***

Which is most stable? The ranking, best first, is one, two.

***

## one
VASP calculation (PBE) on KTcSe after structural relaxation.

abc: 6.669 6.670 3.281
angles: 75.75 75.77 28.48
Sites, in units of the cell vectors:
K (0.998, 0.998, 0.002)
Se (0.290, 0.290, 0.710)
Tc (0.712, 0.712, 0.288)

***

## two
VASP calculation (PBE) on KTcSe after structural relaxation.

abc: 4.134 4.134 5.585
angles: 90.00 90.00 120.00
Sites, in units of the cell vectors:
K (0.000, 0.000, 0.000)
Se (0.667, 0.333, 0.500)
Tc (0.333, 0.667, 0.500)

***

Which is most stable? The ranking, best first, is one, two.